RbSiB: relaxed, GGA-PBE.

uncorrected formation energy	0.45	eV per atom
energy	-3.910	eV/atom
space-group type	Pmma (51)

a = 4.4507 Å, b = 5.3381 Å, c = 7.8280 Å
α = 90.00°, β = 90.00°, γ = 90.00°
Fractional coordinates of all 6 atoms:
1 Rb 0.2500 0.0000 0.2474
2 Rb 0.7500 0.0000 0.7526
3 Si 0.2500 0.5000 0.7979
4 Si 0.7500 0.5000 0.2021
5 B 0.0000 0.5000 0.0000
6 B 0.5000 0.5000 0.0000